# PBE-GGA La2SmGa, optimized geometry
data_La2SmGa
_chemical_formula_sum 'La6 Sm3 Ga3'
_symmetry_space_group_name_H-M 'R 3 m'
_symmetry_Int_Tables_number 160
_symmetry_space_group_name_Hall 'R 3 -2"'
_cell_length_a 3.7807
_cell_length_b 3.7807
_cell_length_c 31.8448
_cell_angle_alpha 90.00
_cell_angle_beta 90.00
_cell_angle_gamma 120.00
loop_
_atom_site_label
_atom_site_fract_x
_atom_site_fract_y
_atom_site_fract_z
_atom_site_occupancy
La1 0.0000 0.0000 0.0000 1
La2 0.0000 0.0000 0.1902 1
Sm1 0.0000 0.0000 0.7616 1
Ga1 0.0000 0.0000 0.5952 1
# relative energy among the computed polymorphs = 122 meV per atom
# E_form = -0.142 eV per atom
# magnetic moment = 0.00 μB/f.u.